Record 1
! KAg2Pb | the Alexandria database | GGA-PBEsol | optimized geometry; values from VASP
! Energy of formation from the pure elements in meV/atom: 232
! Space group: I-4m2
! Calculated total energy in eV/atom: -2.707
! Fermi-level density of states in states/eV/cell: 1.56
&SYSTEM
  ibrav = 0, nat = 4, ntyp = 3
/
ATOMIC_SPECIES
K 39.10 K.upf
Ag 107.87 Ag.upf
Pb 207.20 Pb.upf
ATOMIC_POSITIONS crystal
K 0.0000 0.0000 0.0000
Ag 0.2500 0.7500 0.5000
Ag 0.5000 0.5000 0.0000
Pb 0.7500 0.2500 0.5000
CELL_PARAMETERS angstrom
-2.2995 2.2995 4.4694
2.2995 -2.2995 4.4694
2.2995 2.2995 -4.4694


Record 2
! KAg4Pb | the Alexandria database | GGA-PBEsol | optimized geometry; values from VASP
! Energy of formation from the pure elements in meV/atom: 49
! Space group: F-43m
! Calculated total energy in eV/atom: -3.014
! Fermi-level density of states in states/eV/cell: 2.62
&SYSTEM
  ibrav = 0, nat = 6, ntyp = 3
/
ATOMIC_SPECIES
K 39.10 K.upf
Ag 107.87 Ag.upf
Pb 207.20 Pb.upf
ATOMIC_POSITIONS crystal
K 0.0000 0.0000 0.0000
Ag 0.1263 0.6246 0.6246
Ag 0.6246 0.1263 0.6246
Ag 0.6246 0.6246 0.1263
Ag 0.6246 0.6246 0.6246
Pb 0.2500 0.2500 0.2500
CELL_PARAMETERS angstrom
0.0000 3.9840 3.9840
3.9840 0.0000 3.9840
3.9840 3.9840 0.0000


Record 3
! KAg2Pd2 | the Alexandria database | GGA-PBEsol | optimized geometry; values from VASP
! Energy of formation from the pure elements in meV/atom: 54
! Space group: P4/mbm
! Calculated total energy in eV/atom: -3.880
! Fermi-level density of states in states/eV/cell: 3.00
&SYSTEM
  ibrav = 0, nat = 10, ntyp = 3
/
ATOMIC_SPECIES
K 39.10 K.upf
Ag 107.87 Ag.upf
Pd 106.42 Pd.upf
ATOMIC_POSITIONS crystal
K 0.0000 0.0000 0.0000
K 0.5000 0.5000 0.0000
Ag 0.1247 0.3753 0.0000
Ag 0.3753 0.8753 0.0000
Ag 0.6247 0.1247 0.0000
Ag 0.8753 0.6247 0.0000
Pd 0.1685 0.6685 0.5000
Pd 0.3315 0.1685 0.5000
Pd 0.6685 0.8315 0.5000
Pd 0.8315 0.3315 0.5000
CELL_PARAMETERS angstrom
8.1763 0.0000 0.0000
0.0000 8.1763 0.0000
0.0000 0.0000 2.7813


Record 4
! KAg2PdW | the Alexandria database | GGA-PBEsol | optimized geometry; values from VASP
! Energy of formation from the pure elements in meV/atom: 2337
! Space group: P4/mmm
! Calculated total energy in eV/atom: -3.167
! Fermi-level density of states in states/eV/cell: 3.03
&SYSTEM
  ibrav = 0, nat = 5, ntyp = 4
/
ATOMIC_SPECIES
K 39.10 K.upf
Ag 107.87 Ag.upf
Pd 106.42 Pd.upf
W 183.84 W.upf
ATOMIC_POSITIONS crystal
K 0.0000 0.0000 0.0000
Ag 0.0000 0.5000 0.0000
Ag 0.5000 0.0000 0.0000
Pd 0.0000 0.0000 0.5000
W 0.5000 0.5000 0.5000
CELL_PARAMETERS angstrom
4.9667 0.0000 0.0000
0.0000 4.9667 0.0000
0.0000 0.0000 4.7276


Which value of energy of formation from the pure elements does entry 3 give?
54 meV/atom